Entry one
# SrScPd

An optimized crystal structure of SrScPd (PBE, OQMD).

The structure in CIF format:
```
data_SrScPd
_cell_length_a 6.9650
_cell_length_b 6.9650
_cell_length_c 6.9650
_cell_angle_alpha 90.00
_cell_angle_beta 90.00
_cell_angle_gamma 90.00
_space_group_name_H-M_alt 'F -4 3 m'
_space_group_IT_number 216
_space_group_name_Hall 'F -4 2 3'
loop_
_atom_site_label
_atom_site_type_symbol
_atom_site_fract_x
_atom_site_fract_y
_atom_site_fract_z
_atom_site_occupancy
Sr1 Sr 0.0000 0.0000 0.0000 1
Sc1 Sc 0.0000 0.0000 0.5000 1
Pd1 Pd 0.2500 0.2500 0.7500 1
```

M_tot in μB per cell: 0.13

---

Entry two
# SrScPd

An optimized crystal structure of SrScPd (PBE, OQMD).

The structure in CIF format:
```
data_SrScPd
_cell_length_a 6.8917
_cell_length_b 6.8917
_cell_length_c 6.8917
_cell_angle_alpha 90.00
_cell_angle_beta 90.00
_cell_angle_gamma 90.00
_space_group_name_H-M_alt 'F -4 3 m'
_space_group_IT_number 216
_space_group_name_Hall 'F -4 2 3'
loop_
_atom_site_label
_atom_site_type_symbol
_atom_site_fract_x
_atom_site_fract_y
_atom_site_fract_z
_atom_site_occupancy
Sr1 Sr 0.0000 0.0000 0.0000 1
Sc1 Sc 0.2500 0.2500 0.2500 1
Pd1 Pd 0.2500 0.2500 0.7500 1
```

M_tot in μB per cell: 0.15

---

Sorted by energy, starting with the most stable: entry one, entry two.

---

Entry one
# Y2ScPd2

An optimized crystal structure of Y2ScPd2 (PBE, OQMD).

The structure in CIF format:
```
data_Y2ScPd2
_cell_length_a 4.6244
_cell_length_b 4.6244
_cell_length_c 11.5605
_cell_angle_alpha 90.00
_cell_angle_beta 90.00
_cell_angle_gamma 90.00
_space_group_name_H-M_alt 'I 4/m m m'
_space_group_IT_number 139
_space_group_name_Hall '-I 4 2'
loop_
_atom_site_label
_atom_site_type_symbol
_atom_site_fract_x
_atom_site_fract_y
_atom_site_fract_z
_atom_site_occupancy
Y1 Y 0.0000 0.5000 0.2500 1
Sc1 Sc 0.0000 0.0000 0.0000 1
Pd1 Pd 0.0000 0.0000 0.3908 1
```

M_tot in μB per cell: 1.68

---

Entry two
# Y2ScPd2

An optimized crystal structure of Y2ScPd2 (PBE, OQMD).

The structure in CIF format:
```
data_Y2ScPd2
_cell_length_a 7.5177
_cell_length_b 7.5177
_cell_length_c 4.0431
_cell_angle_alpha 90.00
_cell_angle_beta 90.00
_cell_angle_gamma 90.00
_space_group_name_H-M_alt 'P 4/m b m'
_space_group_IT_number 127
_space_group_name_Hall '-P 4 2ab'
loop_
_atom_site_label
_atom_site_type_symbol
_atom_site_fract_x
_atom_site_fract_y
_atom_site_fract_z
_atom_site_occupancy
Y1 Y 0.1691 0.3309 0.0000 1
Sc1 Sc 0.0000 0.0000 0.5000 1
Pd1 Pd 0.1345 0.6345 0.5000 1
```

M_tot in μB per cell: 0.02

---

Sorted by energy, starting with the most stable: entry two, entry one.